[1]
NdDyPt2 PBE optimized geometry; total energy = -6.478 eV per atom; relative energy among the computed polymorphs = 92 meV/atom; space group = Fm-3m
1.0
0.0000 3.5554 3.5554
3.5554 0.0000 3.5554
3.5554 3.5554 0.0000
Nd Dy Pt
1 1 2
direct
0.0000 0.0000 0.0000
0.5000 0.5000 0.5000
0.2500 0.2500 0.2500
0.7500 0.7500 0.7500

[2]
NdDyPt PBE optimized geometry; total energy = -5.789 eV per atom; relative energy among the computed polymorphs = 197 meV/atom; space group = P3m1
1.0
4.6753 0.0000 0.0000
-2.3377 4.0490 0.0000
0.0000 0.0000 4.2940
Nd Dy Pt
1 1 1
direct
0.0000 0.0000 0.0000
0.6667 0.3333 0.4797
0.3333 0.6667 0.6741

[3]
NdDy3Pt2 PBE optimized geometry; total energy = -5.910 eV per atom; relative energy among the computed polymorphs = 121 meV/atom; space group = C2/m
1.0
8.2533 -2.6027 0.0000
8.2533 2.6027 0.0000
-0.7158 0.0000 7.3774
Nd Dy Pt
2 6 4
direct
0.1932 0.1932 0.3320
0.8068 0.8068 0.6680
0.0337 0.0337 0.7748
0.3374 0.3374 0.0085
0.3970 0.3970 0.4687
0.6030 0.6030 0.5313
0.6626 0.6626 0.9915
0.9663 0.9663 0.2252
0.2051 0.2051 0.7316
0.4858 0.4858 0.8060
0.5142 0.5142 0.1940
0.7949 0.7949 0.2684